1.
Hf2Cr2Si | GGA-PBE | optimized geometry

a = 6.2594 Å, b = 6.2594 Å, c = 4.1649 Å
α = 90.00°, β = 90.00°, γ = 90.00°
With the nearest neighbours (Å) after each atom.
Positions (direct):
Hf1 0.1806 0.3194 0.0000  6 Cr 2.74-2.83
Hf2 0.3194 0.8194 0.0000  6 Cr 2.74-2.83
Hf3 0.6806 0.1806 0.0000  6 Cr 2.74-2.83
Hf4 0.8194 0.6806 0.0000  6 Cr 2.74-2.83
Cr1 0.1180 0.6180 0.5000  1 Cr 2.09
Cr2 0.3820 0.1180 0.5000  1 Cr 2.09
Cr3 0.6180 0.8820 0.5000  1 Cr 2.09
Cr4 0.8820 0.3820 0.5000  1 Cr 2.09
Si1 0.0000 0.0000 0.5000  4 Cr 2.50
Si2 0.5000 0.5000 0.5000  4 Cr 2.50

Computed properties:
The value obtained for the calculated total energy is -0.663 Ry per atom. Its density is 9.95 Mg/m³. The calculation puts the raw formation energy at -106 meV per atom. The value obtained for the spin magnetization is 0.00 μB per formula unit. The space group is P4/mbm (127).

=====

2.
HfCrSi2 | GGA-PBE | optimized geometry

a = 4.3772 Å, b = 4.3772 Å, c = 4.3772 Å
α = 60.00°, β = 60.00°, γ = 60.00°
With the nearest neighbours (Å) after each atom.
Positions (direct):
Hf1 0.0000 0.0000 0.0000  8 Si 2.68
Cr1 0.5000 0.5000 0.5000  8 Si 2.68
Si1 0.2500 0.2500 0.2500  4 Hf 2.68, 4 Cr 2.68
Si2 0.7500 0.7500 0.7500  4 Cr 2.68, 4 Hf 2.68

Computed properties:
The value obtained for the calculated total energy is -0.562 Ry per atom. Its density is 8.03 Mg/m³. The calculation puts the raw formation energy at -45 meV per atom. The value obtained for the spin magnetization is 0.00 μB per formula unit. The space group is Fm-3m (225).

=====

3.
Hf2CrSiSn | GGA-PBE | optimized geometry

a = 4.7512 Å, b = 4.7512 Å, c = 4.8728 Å
α = 90.00°, β = 90.00°, γ = 90.00°
With the nearest neighbours (Å) after each atom.
Positions (direct):
Hf1 0.0000 0.5000 0.0000  2 Cr 2.38
Hf2 0.5000 0.0000 0.0000  2 Cr 2.38
Cr1 0.0000 0.0000 0.0000  4 Hf 2.38, 2 Sn 2.44
Si1 0.5000 0.5000 0.5000  4 Sn 3.36, 8 Hf 3.40
Sn1 0.0000 0.0000 0.5000  2 Cr 2.44

Computed properties:
The value obtained for the calculated total energy is -0.526 Ry per atom. Its density is 8.39 Mg/m³. The calculation puts the raw formation energy at 637 meV per atom. The value obtained for the spin magnetization is 0.00 μB per formula unit. The space group is P4/mmm (123).